[1]
The following is a DFT calculation (PBE) of a relaxed Sr5ZnAg4 crystal.

## Properties
crystal system = tetragonal
ΔE_f = -0.246 eV/atom
symmetry = P4/mmm, No. 123
DFT total energy = -2.35 eV per atom
DOS(E_F) = 8.83 states/eV/cell

a b c (Å): 3.9395 3.9395 19.5130
angles (deg): 90.00 90.00 90.00
Last column: nearest neighbours and their distance in Å.
Element x y z (fractional)
Ag 0.0000 0.0000 0.2004  8 Sr 3.41
Ag 0.0000 0.0000 0.7996  8 Sr 3.41
Ag 0.0000 0.0000 0.4003  8 Sr 3.39-3.40
Ag 0.0000 0.0000 0.5997  8 Sr 3.39-3.40
Sr 0.5000 0.5000 0.3009  8 Ag 3.39-3.41
Sr 0.5000 0.5000 0.6991  8 Ag 3.39-3.41
Sr 0.5000 0.5000 0.5000  8 Ag 3.40
Sr 0.5000 0.5000 0.1000  4 Zn 3.40, 4 Ag 3.41
Sr 0.5000 0.5000 0.9000  4 Zn 3.40, 4 Ag 3.41
Zn 0.0000 0.0000 0.0000  8 Sr 3.40

[2]
The following is a DFT calculation (PBE) of a relaxed RbBa2Li2As2 crystal.

## Properties
crystal system = trigonal
ΔE_f = -0.699 eV/atom
symmetry = R-3m, No. 166
DFT total energy = -3.26 eV per atom
DOS(E_F) = 2.08 states/eV/cell

a b c (Å): 4.6483 4.6483 13.9868
angles (deg): 80.43 80.43 60.00
Last column: nearest neighbours and their distance in Å.
Element x y z (fractional)
Li 0.3902 0.3902 0.8293  3 As 2.71
Li 0.6098 0.6098 0.1707  3 As 2.71
Ba 0.1102 0.1102 0.6694  3 As 3.25, 3 Li 3.47
Ba 0.8898 0.8898 0.3306  3 As 3.25, 3 Li 3.47
As 0.7323 0.7323 0.8032  3 Li 2.71
As 0.2677 0.2677 0.1968  3 Li 2.71
Rb 0.0000 0.0000 0.0000  6 Li 3.56, 6 As 3.81

[3]
The following is a DFT calculation (PBE) of a relaxed Ba2IrW crystal.

## Properties
crystal system = orthorhombic
ΔE_f = 0.485 eV/atom
symmetry = Imm2, No. 44
DFT total energy = -5.93 eV per atom
DOS(E_F) = 5.66 states/eV/cell
energy above the most stable polymorph in this dataset = 0.338 eV/atom

a b c (Å): 7.0408 7.0409 5.3665
angles (deg): 112.39 112.39 123.33
Last column: nearest neighbours and their distance in Å.
Element x y z (fractional)
W 0.8205 0.1795 0.5000  2 Ir 2.39
Ba 0.0137 0.9863 0.0000  4 Ir 3.51, 2 W 3.60, 2 Ba 3.87
Ba 0.2389 0.7611 0.5000  4 W 3.49, 2 Ir 3.55, 2 Ba 3.87
Ir 0.4269 0.5731 0.0000  2 W 2.39